The following is a PBE calculation of an optimized crystal structure of NdMgScBe, from the Alexandria database.

Values from the calculation:
E_form in eV/atom: 0.1071
N(E_F) in states/eV/f.u.: 4.6

The structure in CIF format:
```
data_NdMgScBe
_chemical_formula_sum 'Nd4 Mg4 Sc4 Be4'
_space_group_name_H-M_alt 'F -4 3 m'
_space_group_IT_number 216
_space_group_name_Hall 'F -4 2 3'
_cell_length_a 7.107
_cell_length_b 7.107
_cell_length_c 7.107
_cell_angle_alpha 90.00
_cell_angle_beta 90.00
_cell_angle_gamma 90.00
loop_
_atom_site_label
_atom_site_type_symbol
_atom_site_fract_x
_atom_site_fract_y
_atom_site_fract_z
Nd1 Nd 0.000 0.000 0.000
Mg1 Mg 0.250 0.250 0.250
Sc1 Sc 0.000 0.000 0.500
Be1 Be 0.250 0.250 0.750
```



The following is a PBE calculation of an optimized crystal structure of CrCd2As, from the Alexandria database.

Values from the calculation:
E_form in eV/atom: 0.3293
N(E_F) in states/eV/f.u.: 1.2

The structure in CIF format:
```
data_CrCd2As
_chemical_formula_sum 'Cr2 Cd4 As2'
_space_group_name_H-M_alt 'C m m m'
_space_group_IT_number 65
_space_group_name_Hall '-C 2 2'
_cell_length_a 4.342
_cell_length_b 4.350
_cell_length_c 8.552
_cell_angle_alpha 90.00
_cell_angle_beta 90.00
_cell_angle_gamma 90.00
loop_
_atom_site_label
_atom_site_type_symbol
_atom_site_fract_x
_atom_site_fract_y
_atom_site_fract_z
Cr1 Cr 0.000 0.000 0.000
Cd1 Cd 0.000 0.500 0.234
As1 As 0.000 0.000 0.500
```



The following is a PBE calculation of an optimized crystal structure of SbRh2Pb, from the Alexandria database.

Values from the calculation:
N(E_F) in states/eV/f.u.: 3.8
Calculated total energy in eV per atom: -5.72

The structure in CIF format:
```
data_SbRh2Pb
_chemical_formula_sum 'Sb1 Rh2 Pb1'
_space_group_name_H-M_alt 'P 4/m m m'
_space_group_IT_number 123
_space_group_name_Hall '-P 4 2'
_cell_length_a 3.271
_cell_length_b 3.271
_cell_length_c 7.169
_cell_angle_alpha 90.00
_cell_angle_beta 90.00
_cell_angle_gamma 90.00
loop_
_atom_site_label
_atom_site_type_symbol
_atom_site_fract_x
_atom_site_fract_y
_atom_site_fract_z
Sb1 Sb 0.000 0.000 0.000
Rh1 Rh 0.500 0.500 0.204
Pb1 Pb 0.000 0.000 0.500
```



The following is a PBE calculation of an optimized crystal structure of Ce4Er3Os4, from the Alexandria database.

Values from the calculation:
E_form in eV/atom: -0.1487
N(E_F) in states/eV/f.u.: 13.5

The structure in CIF format:
```
data_Ce4Er3Os4
_chemical_formula_sum 'Ce8 Er6 Os8'
_space_group_name_H-M_alt 'I m m m'
_space_group_IT_number 71
_space_group_name_Hall '-I 2 2'
_cell_length_a 3.720
_cell_length_b 9.216
_cell_length_c 15.012
_cell_angle_alpha 90.00
_cell_angle_beta 90.00
_cell_angle_gamma 90.00
loop_
_atom_site_label
_atom_site_type_symbol
_atom_site_fract_x
_atom_site_fract_y
_atom_site_fract_z
Ce1 Ce 0.000 0.199 0.164
Er1 Er 0.000 0.000 0.392
Er2 Er 0.000 0.500 0.500
Os1 Os 0.000 0.299 0.000
Os2 Os 0.000 0.500 0.285
```



Which of these has the lowest N(E_F)? CrCd2As



Please write out number 1 again, unchanged.
The following is a PBE calculation of an optimized crystal structure of NdMgScBe, from the Alexandria database.

Values from the calculation:
E_form in eV/atom: 0.1071
N(E_F) in states/eV/f.u.: 4.6

The structure in CIF format:
```
data_NdMgScBe
_chemical_formula_sum 'Nd4 Mg4 Sc4 Be4'
_space_group_name_H-M_alt 'F -4 3 m'
_space_group_IT_number 216
_space_group_name_Hall 'F -4 2 3'
_cell_length_a 7.107
_cell_length_b 7.107
_cell_length_c 7.107
_cell_angle_alpha 90.00
_cell_angle_beta 90.00
_cell_angle_gamma 90.00
loop_
_atom_site_label
_atom_site_type_symbol
_atom_site_fract_x
_atom_site_fract_y
_atom_site_fract_z
Nd1 Nd 0.000 0.000 0.000
Mg1 Mg 0.250 0.250 0.250
Sc1 Sc 0.000 0.000 0.500
Be1 Be 0.250 0.250 0.750
```



What is the N(E_F) in the first record? 4.6 states/eV/f.u.